Tl6In3I14 | the Alexandria database | PBE-GGA | optimized geometry; Fermi-level density of states = 0.278 states/eV per atom; calculated total energy = -2.49 eV per atom; raw formation energy = -0.576 eV/atom
1.0
-4.922 3.159 -4.053
6.845 -2.889 -10.564
-8.910 -8.260 4.381
Tl In I
6 3 14
direct
0.240 0.787 0.113
0.240 0.887 0.675
0.240 0.325 0.213
0.749 0.543 0.551
0.749 0.449 0.992
0.749 0.008 0.457
0.840 0.000 0.000
0.349 0.333 0.667
0.481 0.667 0.333
0.979 0.082 0.229
0.979 0.771 0.853
0.979 0.147 0.918
0.487 0.247 0.437
0.487 0.563 0.810
0.487 0.190 0.753
0.455 0.000 0.000
0.964 0.333 0.667
0.719 0.753 0.181
0.719 0.819 0.572
0.719 0.428 0.247
0.244 0.583 0.489
0.244 0.511 0.094
0.244 0.906 0.417


TlInI | the Alexandria database | PBE-GGA | optimized geometry; Fermi-level density of states = 0.269 states/eV per atom; calculated total energy = -2.45 eV per atom; raw formation energy = -0.234 eV/atom
1.0
-0.550 4.978 -1.156
-1.305 0.931 -6.568
-7.111 2.159 1.239
Tl In I
2 2 2
direct
0.914 0.103 0.705
0.455 0.714 0.071
0.229 0.321 0.337
0.899 0.184 0.129
0.715 0.825 0.414
0.200 0.485 0.781


TlIn2I | the Alexandria database | PBE-GGA | optimized geometry; Fermi-level density of states = 0.308 states/eV per atom; calculated total energy = -2.43 eV per atom; raw formation energy = -0.085 eV/atom
1.0
-1.481 3.027 2.037
-4.046 0.748 -4.053
-3.503 -3.617 2.829
I Tl In
1 1 2
direct
0.500 0.500 0.500
0.500 0.000 0.000
0.000 0.000 0.500
0.000 0.500 0.000


Tl3InI | the Alexandria database | PBE-GGA | optimized geometry; Fermi-level density of states = 0.588 states/eV per atom; calculated total energy = -2.26 eV per atom; raw formation energy = 0.022 eV/atom
1.0
-4.495 2.808 -2.631
2.289 -1.302 -5.299
-3.094 -5.044 -0.097
I Tl In
1 3 1
direct
0.500 0.500 0.500
0.000 0.500 0.000
0.000 0.000 0.500
0.500 0.000 0.000
0.000 0.000 0.000


TlInI | the Alexandria database | PBE-GGA | optimized geometry; Fermi-level density of states = 0.270 states/eV per atom; calculated total energy = -2.34 eV per atom; raw formation energy = -0.118 eV/atom
1.0
3.836 0.000 0.000
0.000 5.681 0.000
0.000 -2.841 4.920
I Tl In
1 1 1
direct
0.543 0.333 0.667
0.999 0.000 0.000
0.458 0.667 0.333


TlInI | the Alexandria database | PBE-GGA | optimized geometry; Fermi-level density of states = 0.237 states/eV per atom; calculated total energy = -2.44 eV per atom; raw formation energy = -0.224 eV/atom
1.0
-1.343 3.170 -2.868
1.756 -2.541 -3.632
-4.837 -2.550 -0.554
Tl In I
1 1 1
direct
0.500 0.000 0.500
0.000 0.500 0.500
0.500 0.500 0.000